{
  "formula": "CdIn3Ag7",
  "functional": "GGA-PBE",
  "state": "relaxed",
  "lattice": [[-2.578, 1.457, 0.766], [-4.065, -4.273, -11.661], [-3.835, -9.274, 4.735]],
  "species": ["In", "Ag", "Cd", "Ag", "Ag", "Ag", "In", "Ag", "Ag", "Ag", "In", "In", "In", "Cd", "Ag", "Ag", "Ag", "In", "Ag", "Ag", "Ag", "Ag"],
  "fractional_positions": [[0.920, 0.840, 0.589], [0.652, 0.303, 0.250], [0.906, 0.812, 0.250], [0.517, 0.035, 0.620], [0.483, 0.965, 0.120], [0.348, 0.695, 0.432], [0.784, 0.567, 0.250], [0.781, 0.562, 0.913], [0.781, 0.562, 0.587], [0.219, 0.438, 0.087], [0.216, 0.433, 0.750], [0.080, 0.160, 0.411], [0.080, 0.160, 0.089], [0.094, 0.188, 0.750], [0.652, 0.305, 0.932], [0.219, 0.438, 0.413], [0.483, 0.965, 0.380], [0.920, 0.840, 0.911], [0.652, 0.305, 0.568], [0.517, 0.035, 0.880], [0.348, 0.695, 0.068], [0.348, 0.697, 0.750]],
  "volume_a3_per_atom": 20.02,
  "energy_ev_per_atom": -2.633,
  "sg": "Cmcm (63)",
  "delta_e_f_ev_per_fu": 0.1
}